# 1
# GGA-PBE TmMgFe, optimized geometry
# energy relative to the elements: 1 meV per atom
# calculated volume: 21.10 A^3/atom
# raw total energy: -58.1 eV for the cell shown
data_TmMgFe
_chemical_formula_sum 'Tm4 Mg4 Fe4'
_cell_length_a 13.385
_cell_length_b 3.778
_cell_length_c 5.138
_cell_angle_alpha 90.00
_cell_angle_beta 102.92
_cell_angle_gamma 90.00
_symmetry_space_group_name_H-M 'C 1 2/m 1'
_symmetry_Int_Tables_number 12
loop_
_symmetry_equiv_pos_as_xyz
'x,y,z'
'-x,-y,-z'
'-x,y,-z'
'x,-y,z'
'x+1/2,y+1/2,z'
'-x+1/2,-y+1/2,-z'
'-x+1/2,y+1/2,-z'
'x+1/2,-y+1/2,z'
loop_
_atom_site_label
_atom_site_fract_x
_atom_site_fract_y
_atom_site_fract_z
_atom_site_occupancy
Tm1 0.145 0.000 0.335 1
Mg1 0.076 0.500 0.792 1
Fe1 0.235 0.000 0.903 1

***

# 2
# GGA-PBE Tm5Mg2Fe2, optimized geometry
# energy relative to the elements: -31 meV per atom
# calculated volume: 24.45 A^3/atom
# raw total energy: -171.0 eV for the cell shown
data_Tm5Mg2Fe2
_chemical_formula_sum 'Tm20 Mg8 Fe8'
_cell_length_a 17.606
_cell_length_b 7.039
_cell_length_c 7.103
_cell_angle_alpha 90.00
_cell_angle_beta 90.00
_cell_angle_gamma 90.00
_symmetry_space_group_name_H-M 'C m c e'
_symmetry_Int_Tables_number 64
_symmetry_space_group_name_Hall '-C 2ac 2'
loop_
_atom_site_label
_atom_site_fract_x
_atom_site_fract_y
_atom_site_fract_z
_atom_site_occupancy
Tm1 0.000 0.000 0.000 1
Tm2 0.111 0.185 0.315 1
Mg1 0.233 0.000 0.000 1
Fe1 0.000 0.106 0.608 1

***

# 3
# GGA-PBE Tm4Mg5Fe2, optimized geometry
# energy relative to the elements: -25 meV per atom
# calculated volume: 23.89 A^3/atom
# raw total energy: -43.1 eV for the cell shown
data_Tm4Mg5Fe2
_chemical_formula_sum 'Tm4 Mg5 Fe2'
_cell_length_a 7.844
_cell_length_b 3.598
_cell_length_c 9.360
_cell_angle_alpha 90.00
_cell_angle_beta 95.91
_cell_angle_gamma 90.00
_symmetry_space_group_name_H-M 'P 1 2/m 1'
_symmetry_Int_Tables_number 10
loop_
_symmetry_equiv_pos_as_xyz
'x,y,z'
'-x,-y,-z'
'-x,y,-z'
'x,-y,z'
loop_
_atom_site_label
_atom_site_fract_x
_atom_site_fract_y
_atom_site_fract_z
_atom_site_occupancy
Tm1 0.174 0.000 0.328 1
Tm2 0.211 0.000 0.939 1
Mg1 0.163 0.500 0.638 1
Mg2 0.454 0.500 0.169 1
Mg3 0.500 0.500 0.500 1
Fe1 0.059 0.500 0.118 1

***

# 4
# GGA-PBE Mg2V2Fe, optimized geometry
# energy relative to the elements: 1013 meV per atom
# calculated volume: 18.30 A^3/atom
# raw total energy: -24.8 eV for the cell shown
data_Mg2V2Fe
_chemical_formula_sum 'Mg2 V2 Fe1'
_cell_length_a 4.726
_cell_length_b 4.726
_cell_length_c 4.096
_cell_angle_alpha 90.00
_cell_angle_beta 90.00
_cell_angle_gamma 90.00
_symmetry_space_group_name_H-M 'P 4/m m m'
_symmetry_Int_Tables_number 123
_symmetry_space_group_name_Hall '-P 4 2'
loop_
_atom_site_label
_atom_site_fract_x
_atom_site_fract_y
_atom_site_fract_z
_atom_site_occupancy
Mg1 0.000 0.500 0.000 1
V1 0.000 0.000 0.500 1
V2 0.500 0.500 0.500 1
Fe1 0.000 0.000 0.000 1

***

# 5
# GGA-PBE MgVFe2, optimized geometry
# energy relative to the elements: 37 meV per atom
# calculated volume: 12.77 A^3/atom
# raw total energy: -27.5 eV for the cell shown
data_MgVFe2
_chemical_formula_sum 'Mg1 V1 Fe2'
_cell_length_a 2.904
_cell_length_b 2.904
_cell_length_c 6.059
_cell_angle_alpha 90.00
_cell_angle_beta 90.00
_cell_angle_gamma 90.00
_symmetry_space_group_name_H-M 'P 4/m m m'
_symmetry_Int_Tables_number 123
_symmetry_space_group_name_Hall '-P 4 2'
loop_
_atom_site_label
_atom_site_fract_x
_atom_site_fract_y
_atom_site_fract_z
_atom_site_occupancy
Mg1 0.000 0.000 0.000 1
V1 0.000 0.000 0.500 1
Fe1 0.500 0.500 0.285 1

***

# 6
# GGA-PBE MgVFe2, optimized geometry
# energy relative to the elements: 725 meV per atom
# calculated volume: 14.80 A^3/atom
# raw total energy: -99.0 eV for the cell shown
data_MgVFe2
_chemical_formula_sum 'Mg4 V4 Fe8'
_cell_length_a 3.673
_cell_length_b 3.673
_cell_length_c 17.553
_cell_angle_alpha 90.00
_cell_angle_beta 90.00
_cell_angle_gamma 90.00
_symmetry_space_group_name_H-M 'I -4 2 d'
_symmetry_Int_Tables_number 122
_symmetry_space_group_name_Hall 'I -4 2bw'
loop_
_atom_site_label
_atom_site_fract_x
_atom_site_fract_y
_atom_site_fract_z
_atom_site_occupancy
Mg1 0.000 0.000 0.000 1
V1 0.000 0.000 0.500 1
Fe1 0.236 0.250 0.625 1